# NdScSe2O

An optimized crystal structure of NdScSe2O (PBE, the Alexandria database).

Cell lengths 3.9659, 3.9659, 14.0321 Å; angles 90.00, 90.00, 90.00 degrees
Last column: nearest neighbours and their distance in Å.
Sites, in units of the cell vectors:
Nd 0.5000 0.0000 0.5875  4 O 2.33
Nd 0.0000 0.5000 0.4125  4 O 2.33
Se 0.5000 0.0000 0.2918  1 Sc 2.48
Se 0.5000 0.0000 0.9110  5 Sc 2.83-2.86
Se 0.0000 0.5000 0.0890  5 Sc 2.83-2.86
Se 0.0000 0.5000 0.7082  1 Sc 2.48
O 0.5000 0.5000 0.5000  4 Nd 2.33
O 0.0000 0.0000 0.5000  4 Nd 2.33
Sc 0.0000 0.5000 0.8852  1 Se 2.48
Sc 0.5000 0.0000 0.1148  1 Se 2.48

Values from the calculation:
- Fermi-level density of states: 0.22 states/eV per atom
- Total magnetization: 0.00 μB per formula unit
- DFT total energy: -6.899 eV/atom